The following is a PBE calculation of a relaxed structure of Y2SbPRh6, from Alexandria via LeMat-Bulk.

Properties
space-group type = C2/m, No. 12
VASP energy = -72.81 eV/f.u.
crystal system = monoclinic

Cell: 6.0497 6.0497 7.2921 Å, 114.68 114.68 59.90°
Fractional positions:
Y 0.2414 0.2414 0.2236
Y 0.7586 0.7586 0.7764
Sb 0.0000 0.0000 0.5000
P 0.5000 0.5000 0.0000
Rh 0.1946 0.7412 0.1757
Rh 0.2591 0.2591 0.8259
Rh 0.2588 0.8054 0.8243
Rh 0.7412 0.1946 0.1757
Rh 0.7409 0.7409 0.1741
Rh 0.8054 0.2588 0.8243